Material: TiV2Cl
Method: DFT, PBE
State: relaxed

Geometry as POSCAR:
```
TiV2Cl
1.0
6.129 0.000 0.000
0.000 6.129 0.000
0.000 0.000 6.129
Ti V Cl
4 8 4
Cartesian
0.000 0.000 0.000 Ti
0.000 3.064 3.064 Ti
3.064 0.000 3.064 Ti
3.064 3.064 0.000 Ti
1.532 1.532 1.532 V
1.532 1.532 4.597 V
1.532 4.597 1.532 V
1.532 4.597 4.597 V
4.597 1.532 1.532 V
4.597 1.532 4.597 V
4.597 4.597 1.532 V
4.597 4.597 4.597 V
0.000 0.000 3.064 Cl
0.000 3.064 0.000 Cl
3.064 0.000 0.000 Cl
3.064 3.064 3.064 Cl
```

Properties
space-group type: Fm-3m, No. 225
DOS(E_F): 19.3 states/eV/cell
calculated density: 5.34 g cm⁻³
total energy: -100.3 eV per cell

***

Material: Pu2Te3
Method: DFT, PBE
State: relaxed

Geometry as POSCAR:
```
Pu2Te3
1.0
11.971 0.000 0.000
0.000 4.353 0.000
0.000 0.000 11.732
Pu Te
8 12
Cartesian
0.094 1.088 2.175 Pu
2.275 1.088 5.912 Pu
3.710 3.264 0.046 Pu
5.891 3.264 8.041 Pu
6.079 1.088 3.691 Pu
8.261 1.088 11.686 Pu
9.695 3.264 5.820 Pu
11.877 3.264 9.557 Pu
0.591 3.264 4.351 Te
1.488 1.088 11.065 Te
2.756 3.264 8.241 Te
3.229 1.088 2.375 Te
4.498 3.264 5.199 Te
5.395 1.088 10.218 Te
6.576 3.264 1.515 Te
7.473 1.088 6.533 Te
8.741 3.264 9.357 Te
9.215 1.088 3.491 Te
10.483 3.264 0.667 Te
11.380 1.088 7.381 Te
```

Properties
space-group type: Pnma, No. 62
DOS(E_F): 75.6 states/eV/cell
calculated density: 9.46 g cm⁻³
total energy: -173.1 eV per cell